Computed, not measured: a geometry-optimized TbCrGa2 structure at the PBE level of DFT.

Unit cell a=3.426 b=3.426 c=8.320 alpha=78.12 beta=78.12 gamma=60.00
Each line ends with the local moment (μB).
Fractional coordinates of all 4 atoms:
1 Tb 0.500 0.500 0.500  -0.17
2 Cr 0.000 0.000 0.000  3.00
3 Ga 0.262 0.262 0.214  -0.04
4 Ga 0.738 0.738 0.786  -0.04

Summary:
For the electronic total energy, the calculation gives -20.1 eV for the cell shown. The density of states at the Fermi level comes out at 2.78 states/eV/f.u. The energy of formation from the pure elements comes out at 0.046 eV per atom.